{"formula": "V3TeN", "functional": "PBE-GGA", "state": "relaxed", "cell": [[4.0332, 0.0000, 0.0000], [0.0000, 4.0332, 0.0000], [0.0000, 0.0000, 4.0332]], "species": ["V", "V", "V", "Te", "N"], "frac_coords": [[0.0000, 0.0000, 0.5000], [0.0000, 0.5000, 0.0000], [0.5000, 0.0000, 0.0000], [0.5000, 0.5000, 0.5000], [0.0000, 0.0000, 0.0000]], "de_polymorph_ev_per_atom": 0.000, "dft_energy_ev_per_cell": -40.80, "raw_formation_energy_ev_per_atom": -0.40}

***

{"formula": "V3TeN", "functional": "PBE-GGA", "state": "relaxed", "cell": [[5.1404, 0.0000, 0.0000], [0.0000, 5.1404, 0.0000], [0.0000, 0.0000, 5.1404]], "species": ["V", "V", "V", "Te", "N"], "frac_coords": [[0.0000, 0.0000, 0.5000], [0.0000, 0.5000, 0.0000], [0.5000, 0.0000, 0.0000], [0.0000, 0.0000, 0.0000], [0.5000, 0.5000, 0.5000]], "de_polymorph_ev_per_atom": 2.553, "dft_energy_ev_per_cell": -28.04, "raw_formation_energy_ev_per_atom": 2.16}

***

{"formula": "VTeN2", "functional": "PBE-GGA", "state": "relaxed", "cell": [[1.5275, 0.8819, 6.5100], [-1.5275, 0.8819, 6.5100], [0.0000, -1.7638, 6.5100]], "species": ["V", "Te", "N", "N"], "frac_coords": [[0.0000, 0.0000, 0.0000], [0.5000, 0.5000, 0.5000], [0.3863, 0.3863, 0.3863], [0.6137, 0.6137, 0.6137]], "dft_energy_ev_per_cell": -28.98, "raw_formation_energy_ev_per_atom": -0.02}